First-principles (GGA-PBE) data for Nd7Sm after structural relaxation, as listed in Alexandria via LeMat-Bulk.

Summary:
As for the energy: -38.04 eV per cell. As for the formation energy: 0.17 kcal/mol of atoms.

Unit cell a=7.348 b=7.348 c=7.348 alpha=60.00 beta=60.00 gamma=60.00
Positions (direct):
Nd1 0.000 0.000 0.000
Nd2 0.000 0.000 0.500
Nd3 0.000 0.500 0.000
Nd4 0.000 0.500 0.500
Nd5 0.500 0.000 0.000
Nd6 0.500 0.000 0.500
Nd7 0.500 0.500 0.000
Sm1 0.500 0.500 0.500


First-principles (GGA-PBE) data for CsMoPb3 after structural relaxation, as listed in Alexandria via LeMat-Bulk.

Summary:
As for the energy: -21.59 eV per cell. As for the formation energy: 5.62 kcal/mol of atoms.

Unit cell a=5.526 b=5.526 c=5.526 alpha=90.00 beta=90.00 gamma=90.00
Positions (direct):
Cs1 0.000 0.000 0.000
Mo1 0.500 0.500 0.500
Pb1 0.000 0.500 0.500
Pb2 0.500 0.000 0.500
Pb3 0.500 0.500 0.000


First-principles (GGA-PBE) data for TlPtPb2O6 after structural relaxation, as listed in Alexandria via LeMat-Bulk.

Summary:
As for the energy: -105.98 eV per cell. The calculation puts the uncorrected formation energy at -72 kJ per mole of atoms.

Unit cell a=5.699 b=6.184 c=10.031 alpha=90.00 beta=124.05 gamma=90.00
Positions (direct):
Tl1 0.000 0.000 0.000
Tl2 0.000 0.500 0.500
Pt1 0.500 0.000 0.500
Pt2 0.500 0.500 0.000
Pb1 0.223 0.046 0.733
Pb2 0.223 0.454 0.233
Pb3 0.777 0.546 0.767
Pb4 0.777 0.954 0.267
O1 0.174 0.165 0.480
O2 0.174 0.335 0.980
O3 0.235 0.739 0.421
O4 0.235 0.761 0.921
O5 0.374 0.071 0.272
O6 0.374 0.429 0.772
O7 0.626 0.571 0.228
O8 0.626 0.929 0.728
O9 0.765 0.239 0.079
O10 0.765 0.261 0.579
O11 0.826 0.665 0.020
O12 0.826 0.835 0.520


First-principles (GGA-PBE) data for BaReP2S after structural relaxation, as listed in Alexandria via LeMat-Bulk.

Summary:
As for the energy: -31.45 eV per cell. The calculation puts the uncorrected formation energy at -41 kJ per mole of atoms.

Unit cell a=4.581 b=4.581 c=5.516 alpha=90.00 beta=90.00 gamma=90.00
Positions (direct):
Ba1 0.000 0.000 0.000
Re1 0.500 0.500 0.500
P1 0.000 0.500 0.500
P2 0.500 0.000 0.500
S1 0.500 0.500 0.000


First-principles (GGA-PBE) data for Tb2ErRh4 after structural relaxation, as listed in Alexandria via LeMat-Bulk.

Summary:
As for the energy: -46.96 eV per cell. As for the formation energy: -12.30 kcal/mol of atoms.

Unit cell a=7.004 b=7.004 c=7.004 alpha=139.34 beta=139.34 gamma=58.86
Positions (direct):
Tb1 0.221 0.221 0.000
Tb2 0.779 0.779 0.000
Er1 0.500 0.500 0.000
Rh1 0.120 0.620 0.500
Rh2 0.380 0.880 0.500
Rh3 0.620 0.120 0.500
Rh4 0.880 0.380 0.500


First-principles (GGA-PBE) data for LaTeOs2 after structural relaxation, as listed in Alexandria via LeMat-Bulk.

Summary:
As for the energy: -28.33 eV per cell. The calculation puts the uncorrected formation energy at 53 kJ per mole of atoms.

Unit cell a=5.580 b=5.580 c=5.580 alpha=136.71 beta=136.71 gamma=62.88
Positions (direct):
La1 0.000 0.000 0.000
Te1 0.750 0.250 0.500
Os1 0.250 0.750 0.500
Os2 0.500 0.500 0.000


First-principles (GGA-PBE) data for Cr2FeB6 after structural relaxation, as listed in Alexandria via LeMat-Bulk.

Summary:
As for the energy: -70.02 eV per cell. As for the formation energy: -5.76 kcal/mol of atoms.

Unit cell a=5.169 b=5.169 c=2.974 alpha=90.00 beta=90.00 gamma=120.00
Positions (direct):
Cr1 0.333 0.667 0.000
Cr2 0.667 0.333 0.000
Fe1 0.000 0.000 0.000
B1 0.000 0.333 0.500
B2 0.000 0.667 0.500
B3 0.333 0.000 0.500
B4 0.333 0.333 0.500
B5 0.667 0.000 0.500
B6 0.667 0.667 0.500


First-principles (GGA-PBE) data for La7Tb2Mg2 after structural relaxation, as listed in Alexandria via LeMat-Bulk.

Summary:
As for the energy: -46.04 eV per cell. As for the formation energy: 1.89 kcal/mol of atoms.

Unit cell a=7.991 b=7.991 c=6.255 alpha=104.50 beta=104.50 gamma=94.81
Positions (direct):
La1 0.000 0.000 0.000
La2 0.070 0.576 0.829
La3 0.414 0.414 0.204
La4 0.424 0.930 0.171
La5 0.576 0.070 0.829
La6 0.586 0.586 0.796
La7 0.930 0.424 0.171
Tb1 0.201 0.201 0.587
Tb2 0.799 0.799 0.413
Mg1 0.228 0.772 0.500
Mg2 0.772 0.228 0.500